No. 1
First-principles (PBE-GGA) data for a relaxed Ca3Mg crystal, as listed in Alexandria via LeMat-Bulk.

a = 3.968 Å, b = 3.949 Å, c = 9.384 Å
α = 90.00°, β = 90.10°, γ = 90.00°
Fractional coordinates of all 4 atoms:
Ca 0.000 0.000 0.000
Ca 0.499 0.500 0.290
Ca 0.501 0.500 0.710
Mg 0.000 0.000 0.500

The formation energy comes out at -39 meV per atom. The size of the total moment comes out at 0.00 μB per formula unit. As for the space-group type: No. 10.


No. 2
First-principles (PBE-GGA) data for a relaxed Zn3PtI9 crystal, as listed in Alexandria via LeMat-Bulk.

a = 10.590 Å, b = 10.590 Å, c = 14.598 Å
α = 121.68°, β = 121.68°, γ = 57.62°
Fractional coordinates of all 26 atoms:
Zn 0.022 0.978 0.500
Zn 0.297 0.542 0.616
Zn 0.481 0.780 0.437
Zn 0.542 0.297 0.116
Zn 0.780 0.481 0.937
Zn 0.978 0.022 0.000
Pt 0.122 0.460 0.798
Pt 0.460 0.122 0.298
I 0.022 0.552 0.965
I 0.024 0.796 0.573
I 0.088 0.184 0.717
I 0.146 0.742 0.878
I 0.172 0.846 0.355
I 0.182 0.367 0.609
I 0.184 0.088 0.217
I 0.327 0.447 0.419
I 0.367 0.182 0.109
I 0.447 0.327 0.919
I 0.530 0.632 0.791
I 0.552 0.022 0.465
I 0.632 0.530 0.291
I 0.642 0.798 0.643
I 0.742 0.146 0.378
I 0.796 0.024 0.073
I 0.798 0.642 0.143
I 0.846 0.172 0.855

The formation energy without anion corrections is -0.341 eV/atom. The size of the total moment comes out at 1.06 μB per formula unit. As for the space-group type: No. 9.


No. 3
First-principles (PBE-GGA) data for a relaxed Dy6Cd5In crystal, as listed in Alexandria via LeMat-Bulk.

a = 5.286 Å, b = 7.513 Å, c = 8.370 Å
α = 90.00°, β = 108.29°, γ = 90.00°
Fractional coordinates of all 12 atoms:
Dy 0.000 0.249 0.000
Dy 0.000 0.751 0.000
Dy 0.333 0.249 0.666
Dy 0.333 0.751 0.666
Dy 0.667 0.249 0.334
Dy 0.667 0.751 0.334
Cd 0.167 0.000 0.333
Cd 0.169 0.500 0.338
Cd 0.500 0.000 0.000
Cd 0.831 0.500 0.662
Cd 0.833 0.000 0.667
In 0.500 0.500 0.000

The formation energy comes out at -350 meV per atom. The size of the total moment comes out at 0.00 μB per formula unit. As for the space-group type: No. 10.


No. 4
First-principles (PBE-GGA) data for a relaxed PmNdSmTh crystal, as listed in Alexandria via LeMat-Bulk.

a = 3.620 Å, b = 3.620 Å, c = 10.370 Å
α = 90.00°, β = 90.00°, γ = 90.00°
Fractional coordinates of all 4 atoms:
Pm 0.000 0.000 0.000
Nd 0.500 0.500 0.737
Sm 0.000 0.000 0.476
Th 0.500 0.500 0.239

The formation energy comes out at 30 meV per atom. The relative energy among the computed polymorphs comes out at 0.0 meV per atom. The size of the total moment comes out at 0.00 μB per formula unit. As for the space-group type: No. 99.


No. 5
First-principles (PBE-GGA) data for a relaxed Y7SbS5 crystal, as listed in Alexandria via LeMat-Bulk.

a = 6.750 Å, b = 6.750 Å, c = 23.445 Å
α = 90.00°, β = 90.00°, γ = 145.69°
Fractional coordinates of all 26 atoms:
Y 0.019 0.981 0.750
Y 0.137 0.863 0.037
Y 0.137 0.863 0.463
Y 0.321 0.679 0.673
Y 0.321 0.679 0.827
Y 0.406 0.594 0.113
Y 0.406 0.594 0.387
Y 0.594 0.406 0.613
Y 0.594 0.406 0.887
Y 0.679 0.321 0.173
Y 0.679 0.321 0.327
Y 0.863 0.137 0.537
Y 0.863 0.137 0.963
Y 0.981 0.019 0.250
Sb 0.302 0.698 0.250
Sb 0.698 0.302 0.750
S 0.045 0.955 0.140
S 0.045 0.955 0.360
S 0.225 0.775 0.570
S 0.225 0.775 0.930
S 0.500 0.500 0.000
S 0.500 0.500 0.500
S 0.775 0.225 0.070
S 0.775 0.225 0.430
S 0.955 0.045 0.640
S 0.955 0.045 0.860

The formation energy without anion corrections is -1.735 eV/atom. The size of the total moment comes out at 0.00 μB per formula unit. As for the space-group type: No. 63.


No. 6
First-principles (PBE-GGA) data for a relaxed DyScS2 crystal, as listed in Alexandria via LeMat-Bulk.

a = 6.883 Å, b = 6.883 Å, c = 6.883 Å
α = 31.40°, β = 31.40°, γ = 31.40°
Fractional coordinates of all 4 atoms:
Dy 0.000 0.000 0.000
Sc 0.822 0.822 0.822
S 0.239 0.239 0.239
S 0.419 0.419 0.419

The relative energy among the computed polymorphs comes out at 10.2 meV per atom. The formation energy without anion corrections is -1.913 eV/atom. The size of the total moment comes out at 0.00 μB per formula unit. As for the space-group type: No. 160.


No. 7
First-principles (PBE-GGA) data for a relaxed GdPa2Ga crystal, as listed in Alexandria via LeMat-Bulk.

a = 4.363 Å, b = 4.363 Å, c = 5.015 Å
α = 90.00°, β = 90.00°, γ = 90.00°
Fractional coordinates of all 4 atoms:
Gd 0.000 0.000 0.000
Pa 0.000 0.500 0.500
Pa 0.500 0.000 0.500
Ga 0.500 0.500 0.000

The formation energy comes out at -69 meV per atom. The size of the total moment comes out at 6.94 μB per formula unit. As for the space-group type: No. 123.


No. 8
First-principles (PBE-GGA) data for a relaxed HgMoBr crystal, as listed in Alexandria via LeMat-Bulk.

a = 4.685 Å, b = 4.685 Å, c = 3.411 Å
α = 90.00°, β = 90.00°, γ = 120.00°
Fractional coordinates of all 3 atoms:
Hg 0.000 0.000 0.000
Mo 0.333 0.667 0.500
Br 0.667 0.333 0.500

The relative energy among the computed polymorphs comes out at 515.3 meV per atom. The formation energy without anion corrections is 0.856 eV/atom. The size of the total moment comes out at 2.58 μB per formula unit. As for the space-group type: No. 187.


No. 9
First-principles (PBE-GGA) data for a relaxed Ga2CoTcPd crystal, as listed in Alexandria via LeMat-Bulk.

a = 4.374 Å, b = 4.374 Å, c = 4.641 Å
α = 90.00°, β = 90.00°, γ = 90.00°
Fractional coordinates of all 5 atoms:
Ga 0.000 0.500 0.000
Ga 0.500 0.000 0.000
Co 0.000 0.000 0.000
Tc 0.500 0.500 0.500
Pd 0.000 0.000 0.500

The formation energy comes out at 741 meV per atom. The size of the total moment comes out at 3.77 μB per formula unit. As for the space-group type: No. 123.


No. 10
First-principles (PBE-GGA) data for a relaxed Pm2Ga4CuIr3 crystal, as listed in Alexandria via LeMat-Bulk.

a = 4.209 Å, b = 4.209 Å, c = 10.535 Å
α = 90.00°, β = 90.00°, γ = 90.00°
Fractional coordinates of all 10 atoms:
Pm 0.000 0.500 0.248
Pm 0.500 0.000 0.752
Ga 0.000 0.000 0.500
Ga 0.000 0.500 0.873
Ga 0.500 0.000 0.127
Ga 0.500 0.500 0.500
Cu 0.500 0.500 0.000
Ir 0.000 0.000 0.000
Ir 0.000 0.500 0.636
Ir 0.500 0.000 0.364

The formation energy comes out at -621 meV per atom. The size of the total moment comes out at 0.00 μB per formula unit. As for the space-group type: No. 115.


No. 11
First-principles (PBE-GGA) data for a relaxed LiPm2US6 crystal, as listed in Alexandria via LeMat-Bulk.

a = 6.600 Å, b = 6.600 Å, c = 5.803 Å
α = 90.00°, β = 90.00°, γ = 90.00°
Fractional coordinates of all 10 atoms:
Li 0.000 0.000 0.000
Pm 0.000 0.500 0.442
Pm 0.500 0.000 0.442
U 0.500 0.500 0.070
S 0.000 0.000 0.605
S 0.239 0.239 0.167
S 0.239 0.761 0.167
S 0.500 0.500 0.604
S 0.761 0.239 0.167
S 0.761 0.761 0.167

The formation energy without anion corrections is -1.368 eV/atom. The size of the total moment comes out at 1.00 μB per formula unit. As for the space-group type: No. 99.


No. 12
First-principles (PBE-GGA) data for a relaxed La4Dy10Tm crystal, as listed in Alexandria via LeMat-Bulk.

a = 8.753 Å, b = 8.753 Å, c = 8.753 Å
α = 111.72°, β = 111.72°, γ = 105.06°
Fractional coordinates of all 15 atoms:
La 0.066 0.334 0.400
La 0.334 0.934 0.269
La 0.666 0.066 0.731
La 0.934 0.666 0.600
Dy 0.130 0.452 0.905
Dy 0.225 0.130 0.678
Dy 0.250 0.750 0.500
Dy 0.452 0.547 0.322
Dy 0.453 0.775 0.905
Dy 0.547 0.225 0.095
Dy 0.548 0.453 0.678
Dy 0.750 0.250 0.500
Dy 0.775 0.870 0.322
Dy 0.870 0.548 0.095
Tm 0.000 0.000 0.000

The formation energy comes out at 363 meV per atom. The size of the total moment comes out at 0.00 μB per formula unit. As for the space-group type: No. 87.


No. 13
First-principles (PBE-GGA) data for a relaxed P8C crystal, as listed in Alexandria via LeMat-Bulk.

a = 7.324 Å, b = 7.324 Å, c = 7.324 Å
α = 92.87°, β = 92.87°, γ = 154.15°
Fractional coordinates of all 9 atoms:
P 0.000 0.189 0.189
P 0.000 0.811 0.811
P 0.189 0.000 0.189
P 0.311 0.311 0.621
P 0.311 0.689 0.000
P 0.689 0.311 0.000
P 0.689 0.689 0.379
P 0.811 0.000 0.811
C 0.000 0.000 0.000

The formation energy comes out at 695 meV per atom. The size of the total moment comes out at 0.00 μB per formula unit. As for the space-group type: No. 139.


No. 14
First-principles (PBE-GGA) data for a relaxed ZnCuPt2 crystal, as listed in Alexandria via LeMat-Bulk.

a = 2.833 Å, b = 2.833 Å, c = 7.123 Å
α = 90.00°, β = 90.00°, γ = 90.00°
Fractional coordinates of all 4 atoms:
Zn 0.000 0.000 0.000
Cu 0.500 0.500 0.229
Pt 0.000 0.000 0.470
Pt 0.500 0.500 0.757

The formation energy comes out at -234 meV per atom. The size of the total moment comes out at 0.00 μB per formula unit. As for the space-group type: No. 99.


No. 15
First-principles (PBE-GGA) data for a relaxed Pm2Sm4C crystal, as listed in Alexandria via LeMat-Bulk.

a = 18.590 Å, b = 18.590 Å, c = 18.590 Å
α = 11.27°, β = 11.27°, γ = 11.27°
Fractional coordinates of all 7 atoms:
Pm 0.245 0.245 0.245
Pm 0.755 0.755 0.755
Sm 0.140 0.140 0.140
Sm 0.359 0.359 0.359
Sm 0.641 0.641 0.641
Sm 0.860 0.860 0.860
C 0.000 0.000 0.000

The formation energy comes out at -47 meV per atom. The relative energy among the computed polymorphs comes out at 0.0 meV per atom. The size of the total moment comes out at 0.00 μB per formula unit. As for the space-group type: No. 166.


No. 16
First-principles (PBE-GGA) data for a relaxed Ti2SiOs crystal, as listed in Alexandria via LeMat-Bulk.

a = 5.617 Å, b = 5.617 Å, c = 5.617 Å
α = 102.50°, β = 102.50°, γ = 124.55°
Fractional coordinates of all 8 atoms:
Ti 0.108 0.625 0.983
Ti 0.375 0.358 0.483
Ti 0.642 0.125 0.017
Ti 0.875 0.892 0.517
Si 0.250 0.750 0.500
Si 0.500 0.500 0.000
Os 0.000 0.000 0.000
Os 0.750 0.250 0.500

The formation energy without anion corrections is 0.086 eV/atom. The size of the total moment comes out at 0.00 μB per formula unit. As for the space-group type: No. 122.


No. 17
First-principles (PBE-GGA) data for a relaxed Mn2GaN crystal, as listed in Alexandria via LeMat-Bulk.

a = 5.174 Å, b = 5.174 Å, c = 6.757 Å
α = 101.03°, β = 101.03°, γ = 29.91°
Fractional coordinates of all 8 atoms:
Mn 0.000 0.000 0.000
Mn 0.065 0.065 0.642
Mn 0.252 0.252 0.955
Mn 0.365 0.365 0.340
Ga 0.622 0.622 0.330
Ga 0.816 0.816 0.654
N 0.592 0.592 0.865
N 0.851 0.851 0.134

The formation energy without anion corrections is -0.166 eV/atom. The size of the total moment comes out at 1.70 μB per formula unit. As for the space-group type: No. 8.


No. 18
First-principles (PBE-GGA) data for a relaxed Sm3Tm5Bi8 crystal, as listed in Alexandria via LeMat-Bulk.

a = 8.960 Å, b = 8.960 Å, c = 8.960 Å
α = 60.04°, β = 60.04°, γ = 60.04°
Fractional coordinates of all 16 atoms:
Sm 0.000 0.500 0.500
Sm 0.500 0.000 0.500
Sm 0.500 0.500 0.000
Tm 0.000 0.000 0.000
Tm 0.000 0.000 0.500
Tm 0.000 0.500 0.000
Tm 0.500 0.000 0.000
Tm 0.500 0.500 0.500
Bi 0.244 0.750 0.750
Bi 0.247 0.247 0.247
Bi 0.250 0.250 0.756
Bi 0.250 0.756 0.250
Bi 0.750 0.244 0.750
Bi 0.750 0.750 0.244
Bi 0.753 0.753 0.753
Bi 0.756 0.250 0.250

The formation energy comes out at -831 meV per atom. The size of the total moment comes out at 0.00 μB per formula unit. As for the space-group type: No. 166.


No. 19
First-principles (PBE-GGA) data for a relaxed Na4GaSb2 crystal, as listed in Alexandria via LeMat-Bulk.

a = 9.765 Å, b = 9.765 Å, c = 9.765 Å
α = 31.71°, β = 31.71°, γ = 31.71°
Fractional coordinates of all 7 atoms:
Na 0.112 0.112 0.112
Na 0.290 0.290 0.290
Na 0.710 0.710 0.710
Na 0.888 0.888 0.888
Ga 0.500 0.500 0.500
Sb 0.408 0.408 0.408
Sb 0.592 0.592 0.592

The relative energy among the computed polymorphs comes out at 0.0 meV per atom. The formation energy without anion corrections is -0.254 eV/atom. The size of the total moment comes out at 0.00 μB per formula unit. As for the space-group type: No. 166.


No. 20
First-principles (PBE-GGA) data for a relaxed KNaCdH2 crystal, as listed in Alexandria via LeMat-Bulk.

a = 4.460 Å, b = 4.460 Å, c = 5.649 Å
α = 90.00°, β = 90.00°, γ = 90.00°
Fractional coordinates of all 5 atoms:
K 0.000 0.000 0.000
Na 0.500 0.500 0.000
Cd 0.500 0.500 0.500
H 0.000 0.500 0.500
H 0.500 0.000 0.500

The calculation puts the total energy at -1.631 eV per atom. The size of the total moment comes out at 0.00 μB per formula unit. As for the space-group type: No. 123.


No. 21
First-principles (PBE-GGA) data for a relaxed HfMnCo3 crystal, as listed in Alexandria via LeMat-Bulk.

a = 4.165 Å, b = 4.165 Å, c = 4.165 Å
α = 90.00°, β = 90.00°, γ = 90.00°
Fractional coordinates of all 5 atoms:
Hf 0.000 0.000 0.000
Mn 0.500 0.500 0.500
Co 0.000 0.500 0.500
Co 0.500 0.000 0.500
Co 0.500 0.500 0.000

The formation energy comes out at 638 meV per atom. The relative energy among the computed polymorphs comes out at 0.0 meV per atom. The size of the total moment comes out at 0.00 μB per formula unit. As for the space-group type: No. 221.


No. 22
First-principles (PBE-GGA) data for a relaxed Li2ZrIn crystal, as listed in Alexandria via LeMat-Bulk.

a = 5.860 Å, b = 5.860 Å, c = 5.860 Å
α = 149.58°, β = 130.14°, γ = 59.53°
Fractional coordinates of all 4 atoms:
Li 0.000 0.000 0.000
Li 0.771 0.271 0.500
Zr 0.281 0.781 0.500
In 0.550 0.550 0.000

The formation energy comes out at 28 meV per atom. The size of the total moment comes out at 0.00 μB per formula unit. As for the space-group type: No. 44.


No. 23
First-principles (PBE-GGA) data for a relaxed ScTe3Pt crystal, as listed in Alexandria via LeMat-Bulk.

a = 5.287 Å, b = 5.287 Å, c = 5.287 Å
α = 90.00°, β = 90.00°, γ = 90.00°
Fractional coordinates of all 5 atoms:
Sc 0.000 0.000 0.000
Te 0.000 0.500 0.500
Te 0.500 0.000 0.500
Te 0.500 0.500 0.000
Pt 0.500 0.500 0.500

The relative energy among the computed polymorphs comes out at 0.0 meV per atom. The formation energy without anion corrections is 0.035 eV/atom. The size of the total moment comes out at 0.00 μB per formula unit. As for the space-group type: No. 221.